1.
Nd2ScAl2Pt5: optimized geometry, PBE-GGA.

total DFT energy (no corrections): -127.90 eV/cell
magnetization: 0.000 μB per formula unit
calculated volume: 382.3 Å³/cell
energy of formation: -1003 kJ/mol of formula units

a b c (Å): 10.474 10.474 3.485
angles (deg): 90.00 90.00 90.00
Element x y z (fractional)
Nd 0.177 0.323 0.000
Nd 0.323 0.823 0.000
Nd 0.677 0.177 0.000
Nd 0.823 0.677 0.000
Sc 0.000 0.000 0.000
Sc 0.500 0.500 0.000
Al 0.124 0.624 0.000
Al 0.376 0.124 0.000
Al 0.624 0.876 0.000
Al 0.876 0.376 0.000
Pt 0.000 0.500 0.500
Pt 0.057 0.793 0.500
Pt 0.207 0.057 0.500
Pt 0.293 0.557 0.500
Pt 0.443 0.293 0.500
Pt 0.500 0.000 0.500
Pt 0.557 0.707 0.500
Pt 0.707 0.443 0.500
Pt 0.793 0.943 0.500
Pt 0.943 0.207 0.500

---

2.
Ac2PmPuS4: optimized geometry, PBE-GGA.

total DFT energy (no corrections): -59.35 eV/cell
magnetization: 5.769 μB per formula unit
calculated volume: 203.0 Å³/cell
raw formation energy: -1943 meV/atom

a b c (Å): 7.180 4.130 7.248
angles (deg): 90.00 109.16 90.00
Element x y z (fractional)
Ac 0.000 0.000 0.000
Ac 0.500 0.500 0.000
Pm 0.000 0.500 0.500
Pu 0.500 0.000 0.500
S 0.246 0.000 0.730
S 0.261 0.500 0.272
S 0.739 0.500 0.728
S 0.754 0.000 0.270